# 1
Cs3In2AgCl9, relaxed, DFT PBE; E_form (uncorrected) = -20.91 eV per formula unit; mass density = 3.79 g/cm³; space group = No. 164
1.0
7.572 0.000 0.000
-3.786 6.558 0.000
0.000 0.000 9.316
Cs In Ag Cl
3 2 1 9
direct
0.000 0.000 0.000
0.333 0.667 0.660
0.667 0.333 0.340
0.333 0.667 0.173
0.667 0.333 0.827
0.000 0.000 0.500
0.000 0.500 0.000
0.169 0.338 0.326
0.169 0.831 0.326
0.338 0.169 0.674
0.500 0.000 0.000
0.500 0.500 0.000
0.662 0.831 0.326
0.831 0.169 0.674
0.831 0.662 0.674


# 2
TiCu2Te3, relaxed, DFT PBE; E_form (uncorrected) = -2.47 eV per formula unit; mass density = 6.47 g/cm³; space group = No. 12
1.0
10.003 -2.010 0.000
10.003 2.010 0.000
-0.888 0.000 7.123
Ti Cu Te
2 4 6
direct
0.146 0.146 0.060
0.854 0.854 0.940
0.215 0.215 0.425
0.454 0.454 0.847
0.546 0.546 0.153
0.785 0.785 0.575
0.083 0.083 0.367
0.252 0.252 0.792
0.413 0.413 0.171
0.587 0.587 0.829
0.748 0.748 0.208
0.917 0.917 0.633


# 3
NaHfBi2, relaxed, DFT PBE; mass density = 9.71 g/cm³; space group = No. 225; formation enthalpy at 0 K = 0.0 eV/f.u.
1.0
0.000 3.755 3.755
3.755 0.000 3.755
3.755 3.755 0.000
Na Hf Bi
1 1 2
direct
0.000 0.000 0.000
0.500 0.500 0.500
0.250 0.250 0.250
0.750 0.750 0.750


# 4
Eu2Y, relaxed, DFT PBE; mass density = 5.70 g/cm³; space group = No. 227; formation enthalpy at 0 K = 0.8 eV/f.u.
1.0
0.000 4.856 4.856
4.856 0.000 4.856
4.856 4.856 0.000
Eu Y
4 2
direct
0.000 0.000 0.000
0.000 0.000 0.500
0.000 0.500 0.000
0.500 0.000 0.000
0.375 0.375 0.375
0.625 0.625 0.625


# 5
La2ScW, relaxed, DFT PBE; mass density = 8.16 g/cm³; space group = No. 10; formation enthalpy at 0 K = 2.3 eV/f.u.
1.0
3.385 0.000 0.000
0.000 4.796 0.000
-1.231 0.000 6.346
La Sc W
2 1 1
direct
0.106 0.000 0.268
0.894 0.000 0.732
0.500 0.500 0.000
0.500 0.500 0.500


# 6
TbPm6PrNd2, relaxed, DFT PBE; mass density = 6.96 g/cm³; space group = No. 15; formation enthalpy at 0 K = 1.2 eV/f.u.
1.0
4.599 -7.683 0.000
4.599 7.683 0.000
-1.634 0.000 9.852
Tb Pm Pr Nd
2 12 2 4
direct
0.018 0.982 0.750
0.982 0.018 0.250
0.024 0.577 0.686
0.120 0.747 0.056
0.253 0.880 0.444
0.294 0.499 0.879
0.423 0.976 0.814
0.499 0.294 0.379
0.501 0.706 0.621
0.577 0.024 0.186
0.706 0.501 0.121
0.747 0.120 0.556
0.880 0.253 0.944
0.976 0.423 0.314
0.405 0.595 0.250
0.595 0.405 0.750
0.188 0.290 0.541
0.290 0.188 0.041
0.710 0.812 0.959
0.812 0.710 0.459


# 7
CaY4Ho5, relaxed, DFT PBE; mass density = 6.25 g/cm³; space group = No. 123; formation enthalpy at 0 K = 0.5 eV/f.u.
1.0
3.570 0.000 0.000
0.000 3.570 0.000
0.000 0.000 25.444
Ca Y Ho
1 4 5
direct
0.000 0.000 0.000
0.000 0.000 0.204
0.000 0.000 0.402
0.000 0.000 0.598
0.000 0.000 0.796
0.500 0.500 0.110
0.500 0.500 0.304
0.500 0.500 0.500
0.500 0.500 0.696
0.500 0.500 0.890


# 8
AlCuGe, relaxed, DFT PBE; mass density = 5.42 g/cm³; space group = No. 6; formation enthalpy at 0 K = 0.1 eV/f.u.
1.0
5.183 0.000 0.000
0.000 3.971 0.000
-1.805 0.000 4.861
Al Cu Ge
2 2 2
direct
0.000 0.000 0.000
0.449 0.000 0.448
0.486 0.000 0.961
0.689 0.500 0.758
0.174 0.500 0.707
0.743 0.500 0.274


# 9
CdPb2, relaxed, DFT PBE; mass density = 10.00 g/cm³; space group = No. 8; formation enthalpy at 0 K = 0.2 eV/f.u.
1.0
6.660 -1.718 0.000
6.660 1.718 0.000
-1.883 0.000 7.645
Cd Pb
2 4
direct
0.000 0.000 0.000
0.663 0.663 0.332
0.049 0.049 0.604
0.326 0.326 0.664
0.390 0.390 0.262
0.710 0.710 0.951


# 10
BaPmPr2, relaxed, DFT PBE; mass density = 5.84 g/cm³; space group = No. 123; formation enthalpy at 0 K = 0.4 eV/f.u.
1.0
3.801 0.000 0.000
0.000 3.801 0.000
0.000 0.000 11.113
Ba Pm Pr
1 1 2
direct
0.000 0.000 0.000
0.000 0.000 0.500
0.500 0.500 0.280
0.500 0.500 0.720


# 11
TeRh2BrF, relaxed, DFT PBE; E_form (uncorrected) = 4.67 eV per formula unit; mass density = 5.99 g/cm³; space group = No. 123
1.0
4.607 0.000 0.000
0.000 4.607 0.000
0.000 0.000 5.650
Te Rh Br F
1 2 1 1
direct
0.000 0.000 0.000
0.000 0.500 0.500
0.500 0.000 0.500
0.000 0.000 0.500
0.500 0.500 0.000


# 12
TbSmGeCl, relaxed, DFT PBE; E_form (uncorrected) = -3.82 eV per formula unit; mass density = 5.79 g/cm³; space group = No. 38
1.0
5.750 0.000 0.000
0.000 2.439 4.268
0.000 -2.439 4.268
Tb Sm Ge Cl
1 1 1 1
direct
0.000 0.000 0.000
0.500 0.331 0.331
0.000 0.332 0.332
0.500 0.000 0.000


> What is the mass density in the second record?

6.47 g/cm³